1.
Computed, not measured: a geometry-optimized LaCdHg2Ru structure at the PBE level of DFT.

Computed properties:
- N(E_F) (states/eV/f.u.) = 7.6
- symmetry = P4/mmm
- formation energy from the elements (eV/atom) = 0.15
- energy (eV per atom) = -2.991

abc: 5.198 5.198 5.109
angles: 90.00 90.00 90.00
Positions (direct):
La  0.000  0.000  0.000
Cd  0.500  0.500  0.000
Hg  0.000  0.500  0.500
Hg  0.500  0.000  0.500
Ru  0.500  0.500  0.500



2.
Computed, not measured: a geometry-optimized La5CdHg2Ru2 structure at the PBE level of DFT.

Computed properties:
- N(E_F) (states/eV/f.u.) = 9.0
- symmetry = P4/mbm
- formation energy from the elements (eV/atom) = -0.31
- energy (eV per atom) = -4.782

abc: 12.274 12.274 3.839
angles: 90.00 90.00 90.00
Positions (direct):
La  0.000  0.500  0.000
La  0.076  0.213  0.000
La  0.213  0.924  0.000
La  0.287  0.424  0.000
La  0.424  0.713  0.000
La  0.500  0.000  0.000
La  0.576  0.287  0.000
La  0.713  0.576  0.000
La  0.787  0.076  0.000
La  0.924  0.787  0.000
Cd  0.000  0.000  0.500
Cd  0.500  0.500  0.500
Hg  0.182  0.682  0.500
Hg  0.318  0.182  0.500
Hg  0.682  0.818  0.500
Hg  0.818  0.318  0.500
Ru  0.130  0.370  0.500
Ru  0.370  0.870  0.500
Ru  0.630  0.130  0.500
Ru  0.870  0.630  0.500



3.
Computed, not measured: a geometry-optimized LaCdHgSb structure at the PBE level of DFT.

Computed properties:
- ΔE_f (raw) (eV/f.u.) = -1.7
- N(E_F) (states/eV/f.u.) = 4.0
- symmetry = F-43m
- energy (eV per atom) = -3.004

abc: 5.390 5.390 5.390
angles: 60.00 60.00 60.00
Positions (direct):
La  0.000  0.000  0.000
Cd  0.500  0.500  0.500
Hg  0.250  0.250  0.250
Sb  0.750  0.750  0.750



4.
Computed, not measured: a geometry-optimized LaSc2CdHg4 structure at the PBE level of DFT.

Computed properties:
- N(E_F) (states/eV/f.u.) = 6.6
- symmetry = R-3m
- formation energy from the elements (eV/atom) = -0.34
- energy (eV per atom) = -2.801

abc: 9.884 9.884 9.884
angles: 28.73 28.73 28.73
Positions (direct):
La  0.000  0.000  0.000
Sc  0.234  0.234  0.234
Sc  0.766  0.766  0.766
Cd  0.500  0.500  0.500
Hg  0.123  0.123  0.123
Hg  0.391  0.391  0.391
Hg  0.609  0.609  0.609
Hg  0.877  0.877  0.877



5.
Computed, not measured: a geometry-optimized LaScCd2Hg5 structure at the PBE level of DFT.

Computed properties:
- N(E_F) (states/eV/f.u.) = 7.9
- symmetry = Immm
- formation energy from the elements (eV/atom) = -0.04
- energy (eV per atom) = -1.659

abc: 8.650 8.650 8.650
angles: 144.45 135.79 57.97
Positions (direct):
La  0.000  0.000  0.000
Sc  0.500  0.500  0.000
Cd  0.314  0.814  0.500
Cd  0.686  0.186  0.500
Hg  0.080  0.353  0.726
Hg  0.373  0.647  0.726
Hg  0.500  0.000  0.500
Hg  0.627  0.353  0.274
Hg  0.920  0.647  0.274



6.
Computed, not measured: a geometry-optimized LaScCd2Hg4 structure at the PBE level of DFT.

Computed properties:
- N(E_F) (states/eV/f.u.) = 3.1
- symmetry = R-3m
- formation energy from the elements (eV/atom) = -0.35
- energy (eV per atom) = -2.137

abc: 8.944 8.944 8.944
angles: 33.09 33.09 33.09
Positions (direct):
La  0.000  0.000  0.000
Sc  0.500  0.500  0.500
Cd  0.251  0.251  0.251
Cd  0.749  0.749  0.749
Hg  0.131  0.131  0.131
Hg  0.383  0.383  0.383
Hg  0.617  0.617  0.617
Hg  0.869  0.869  0.869